Computed, not measured: a relaxed structure of NiSb2Rh at the GGA-PBE level of DFT.

Unit cell a=5.5168 b=5.5168 c=5.5168 alpha=138.70 beta=138.70 gamma=59.83
Element x y z (fractional)
1 Rh 0.7500 0.2500 0.5000
2 Sb 0.2500 0.7500 0.5000
3 Sb 0.0000 0.0000 0.0000
4 Ni 0.5000 0.5000 0.0000

Computed properties:
symmetry	I-4m2, No. 119
formation energy from raw total energies	0.249	eV per formula unit
electronic total energy	-5.2821	eV/atom